Entry from the Alexandria database: a geometry-optimized PrSc2Sn structure (PBE).

Output
- VASP energy: -23.00 eV/cell
- Symmetry: P4/mmm
- Formation energy from the elements: -388 meV per atom
- Distance to the lowest polymorph of the same formula: 0.00 eV per formula unit

Geometry as POSCAR:
```
PrSc2Sn
1.0
4.607 0.000 0.000
0.000 4.721 0.000
0.000 0.000 4.721
Pr Sc Sn
1 2 1
Direct
0.500 0.000 0.000
0.000 0.000 0.500
0.000 0.500 0.000
0.500 0.500 0.500
```

=====

Entry from the Alexandria database: a geometry-optimized Pr4ScSn2 structure (PBE).

Output
- VASP energy: -35.51 eV/cell
- Symmetry: R-3m
- Formation energy from the elements: -293 meV per atom

Geometry as POSCAR:
```
Pr4ScSn2
1.0
-2.293 -3.280 -3.757
1.257 -5.343 -0.113
-7.341 -4.643 4.524
Pr Sc Sn
4 1 2
Direct
0.719 0.719 0.842
0.874 0.874 0.378
0.281 0.281 0.158
0.126 0.126 0.622
0.500 0.500 0.500
0.604 0.604 0.189
0.396 0.396 0.811
```

=====

Entry from the Alexandria database: a geometry-optimized Pr5Sc2Sn5 structure (PBE).

Output
- VASP energy: -62.95 eV/cell
- Symmetry: C2/m
- Formation energy from the elements: -532 meV per atom

Geometry as POSCAR:
```
Pr5Sc2Sn5
1.0
-3.878 0.835 -2.292
3.647 -5.515 -3.601
-6.810 -4.068 10.039
Pr Sc Sn
5 2 5
Direct
0.500 0.000 0.500
0.663 0.325 0.027
0.706 0.412 0.324
0.294 0.588 0.676
0.337 0.675 0.973
0.056 0.112 0.791
0.944 0.888 0.209
0.116 0.231 0.428
0.684 0.368 0.781
0.316 0.632 0.219
0.884 0.769 0.572
0.000 0.000 0.000
```

=====

Entry from the Alexandria database: a geometry-optimized PrSc2Sn structure (PBE).

Output
- VASP energy: -21.43 eV/cell
- Symmetry: R-3m
- Formation energy from the elements: 3 meV per atom
- Distance to the lowest polymorph of the same formula: 1.57 eV per formula unit

Geometry as POSCAR:
```
PrSc2Sn
1.0
3.345 0.000 0.000
1.673 2.897 0.000
1.673 0.966 11.259
Pr Sc Sn
1 2 1
Direct
0.000 0.000 0.000
0.096 0.096 0.713
0.904 0.904 0.287
0.500 0.500 0.500
```

=====

Entry from the Alexandria database: a geometry-optimized PrScTlSn structure (PBE).

Output
- VASP energy: -19.09 eV/cell
- Symmetry: F-43m
- Formation energy from the elements: -404 meV per atom

Geometry as POSCAR:
```
PrScTlSn
1.0
5.340 0.000 0.000
2.670 4.625 0.000
2.670 1.542 4.360
Pr Sc Tl Sn
1 1 1 1
Direct
0.750 0.750 0.750
0.250 0.250 0.250
0.500 0.500 0.500
0.000 0.000 0.000
```

=====

Entry from the Alexandria database: a geometry-optimized PrTmScSn structure (PBE).

Output
- VASP energy: -20.39 eV/cell
- Symmetry: F-43m
- Formation energy from the elements: -202 meV per atom

Geometry as POSCAR:
```
PrTmScSn
1.0
5.314 0.000 0.000
2.657 4.602 0.000
2.657 1.534 4.339
Pr Sc Tm Sn
1 1 1 1
Direct
0.750 0.750 0.750
0.500 0.500 0.500
0.000 0.000 0.000
0.250 0.250 0.250
```

=====

Entry from the Alexandria database: a geometry-optimized Pr2ScTa structure (PBE).

Output
- VASP energy: -25.12 eV/cell
- Symmetry: R-3m
- Formation energy from the elements: 655 meV per atom

Geometry as POSCAR:
```
Pr2ScTa
1.0
-1.382 -0.728 -2.872
1.771 -1.420 -2.353
-2.872 -11.291 2.383
Pr Sc Ta
2 1 1
Direct
0.085 0.085 0.746
0.915 0.915 0.254
0.500 0.500 0.500
0.000 0.000 0.000
```

=====

Entry from the Alexandria database: a geometry-optimized Tb2Pr3Sc structure (PBE).

Output
- VASP energy: -59.32 eV/cell
- Symmetry: P2_1/m
- Formation energy from the elements: 45 meV per atom
- Distance to the lowest polymorph of the same formula: 0.02 eV per formula unit

Geometry as POSCAR:
```
Tb2Pr3Sc
1.0
-2.056 -1.979 -2.336
6.226 0.306 -5.738
4.870 -10.715 4.793
Tb Pr Sc
4 6 2
Direct
0.250 0.348 0.446
0.750 0.652 0.554
0.750 0.075 0.889
0.250 0.925 0.111
0.750 0.079 0.612
0.250 0.921 0.388
0.750 0.604 0.253
0.250 0.396 0.747
0.250 0.341 0.060
0.750 0.659 0.940
0.250 0.808 0.747
0.750 0.192 0.253
```

=====

Entry from the Alexandria database: a geometry-optimized Tb3Pr2Sc4 structure (PBE).

Output
- VASP energy: -95.60 eV/cell
- Symmetry: C2/c
- Formation energy from the elements: 108 meV per atom

Geometry as POSCAR:
```
Tb3Pr2Sc4
1.0
-5.557 -0.405 1.733
-6.801 -4.898 -6.979
-3.456 -10.026 2.545
Tb Pr Sc
6 4 8
Direct
0.794 0.045 0.273
0.706 0.727 0.955
0.206 0.955 0.727
0.294 0.273 0.045
0.250 0.634 0.366
0.750 0.366 0.634
0.451 0.250 0.502
0.049 0.498 0.750
0.549 0.750 0.498
0.951 0.502 0.250
0.440 0.929 0.170
0.060 0.830 0.071
0.560 0.071 0.830
0.940 0.170 0.929
0.127 0.128 0.401
0.373 0.599 0.872
0.873 0.872 0.599
0.627 0.401 0.128
```

=====

Entry from the Alexandria database: a geometry-optimized TbPr2Sc3 structure (PBE).

Output
- VASP energy: -63.18 eV/cell
- Symmetry: P-3m1
- Formation energy from the elements: 266 meV per atom

Geometry as POSCAR:
```
TbPr2Sc3
1.0
-0.009 5.854 -3.305
-5.806 -2.751 1.980
0.596 4.581 8.113
Tb Pr Sc
2 4 6
Direct
0.333 0.667 0.921
0.667 0.333 0.079
0.000 0.000 0.000
0.667 0.333 0.438
0.000 0.000 0.500
0.333 0.667 0.562
0.188 0.376 0.239
0.624 0.812 0.239
0.188 0.812 0.239
0.812 0.624 0.761
0.812 0.188 0.761
0.376 0.188 0.761
```

=====

Entry from the Alexandria database: a geometry-optimized Tb5Pr2Sc structure (PBE).

Output
- VASP energy: -77.55 eV/cell
- Symmetry: Pbam
- Formation energy from the elements: 33 meV per atom
- Distance to the lowest polymorph of the same formula: 0.00 eV per formula unit

Geometry as POSCAR:
```
Tb5Pr2Sc
1.0
-1.837 -0.596 4.638
-4.400 -5.072 -2.394
9.941 -9.883 2.668
Tb Pr Sc
10 4 2
Direct
0.000 0.000 0.000
0.000 0.500 0.500
0.000 0.497 0.752
0.000 0.503 0.248
0.000 0.003 0.252
0.000 0.997 0.748
0.500 0.249 0.876
0.500 0.751 0.124
0.500 0.251 0.376
0.500 0.749 0.624
0.500 0.246 0.623
0.500 0.754 0.377
0.500 0.254 0.123
0.500 0.746 0.877
0.000 0.000 0.500
0.000 0.500 0.000
```

=====

Entry from the Alexandria database: a geometry-optimized Tb5PrSc6 structure (PBE).

Output
- VASP energy: -65.21 eV/cell
- Symmetry: C2/m
- Formation energy from the elements: 59 meV per atom

Geometry as POSCAR:
```
Tb5PrSc6
1.0
-3.195 0.288 10.685
2.382 -5.106 1.956
5.536 -0.054 2.210
Tb Pr Sc
5 1 6
Direct
0.500 0.167 0.667
0.000 0.333 0.333
0.500 0.500 0.000
0.000 0.667 0.667
0.500 0.833 0.333
0.000 0.000 0.000
0.749 0.083 0.334
0.251 0.583 0.334
0.251 0.250 0.000
0.749 0.750 0.000
0.749 0.417 0.666
0.251 0.917 0.666
```

=====

Question: What is the VASP energy in the twelfth record?
Answer: -65.21 eV/cell

=====

Question: What is the VASP energy in the seventh record?
Answer: -25.12 eV/cell

=====

Question: What is the VASP energy in the tenth record?
Answer: -63.18 eV/cell

=====

Question: Among the records above, which one has the lowest formation energy from the elements?
Answer: Pr5Sc2Sn5